A relaxed structure of LiZn2Se. Source: Alexandria via LeMat-Bulk, functional PBE.

a b c (Å): 4.2927 4.2927 5.8028
angles (deg): 103.85 103.85 51.17
Fractional coordinates of all 4 atoms:
Li (0.0000, 0.0000, 0.0000)
Zn (0.2939, 0.2939, 0.4763)
Zn (0.6327, 0.6327, 0.6847)
Se (0.7265, 0.7265, 0.1472)

Values from the calculation:
The volume comes out at 20.1 Å³/atom. The calculation puts the uncorrected formation energy at -0.37 eV per atom. Its total energy is -9.4 eV per formula unit. The size of the total moment comes out at 0.0 μB/f.u.